The following is a DFT calculation (PBE) of crystalline BaIn3Hg at its relaxed geometry.

Values from the calculation:
The magnetic moment comes out at 0.0 μB per formula unit. Its space group is Pm-3m, No. 221. Its formation energy is 3.62 eV per formula unit. The calculated volume comes out at 293 Å³ per cell. As for the total energy: -1.36 eV/atom.

a = 6.6404 Å, b = 6.6404 Å, c = 6.6404 Å
α = 90.00°, β = 90.00°, γ = 90.00°
Last column: nearest neighbours and their distance in Å.
Fractional coordinates of all 5 atoms:
In: 0.0000 0.0000 0.5000  2 Ba 3.32
In: 0.0000 0.5000 0.0000  2 Ba 3.32
In: 0.5000 0.0000 0.0000  2 Ba 3.32
Ba: 0.0000 0.0000 0.0000  6 In 3.32
Hg: 0.5000 0.5000 0.5000  12 In 4.70


The following is a DFT calculation (PBE) of crystalline Ba3In2Hg4 at its relaxed geometry.

Values from the calculation:
The magnetic moment comes out at 0.0 μB per formula unit. Its space group is C2/m, No. 12. Its formation energy is -4.32 eV per formula unit. The calculated volume comes out at 301 Å³ per cell. As for the total energy: -1.86 eV/atom.

a = 5.2026 Å, b = 6.7849 Å, c = 10.0026 Å
α = 110.93°, β = 90.00°, γ = 112.54°
Last column: nearest neighbours and their distance in Å.
Fractional coordinates of all 9 atoms:
Ba: 0.0000 0.0000 0.0000  8 Hg 3.67-3.85, 4 In 3.93
Ba: 0.6451 0.2903 0.6808  8 Hg 3.55-3.84, 4 In 3.67-3.69
Ba: 0.3549 0.7097 0.3192  8 Hg 3.55-3.84, 4 In 3.67-3.69
Hg: 0.2800 0.5601 0.9386  1 In 3.00, 2 Hg 3.09
Hg: 0.7200 0.4399 0.0614  1 In 3.00, 2 Hg 3.09
Hg: 0.9141 0.8282 0.5864  2 In 2.99, 1 Hg 3.24
Hg: 0.0859 0.1718 0.4136  2 In 2.99, 1 Hg 3.24
In: 0.3541 0.7082 0.6875  3 Hg 2.99-3.00
In: 0.6459 0.2918 0.3125  3 Hg 2.99-3.00


The following is a DFT calculation (PBE) of crystalline BaIn2Hg at its relaxed geometry.

Values from the calculation:
The magnetic moment comes out at 0.0 μB per formula unit. Its space group is Pmmm, No. 47. Its formation energy is -1.02 eV per formula unit. The calculated volume comes out at 127 Å³ per cell. As for the total energy: -2.18 eV/atom.

a = 5.0024 Å, b = 4.8311 Å, c = 5.2734 Å
α = 90.00°, β = 90.00°, γ = 90.00°
Last column: nearest neighbours and their distance in Å.
Fractional coordinates of all 4 atoms:
In: 0.5000 0.5000 0.0000  4 In 3.48, 4 Ba 3.58, 4 Hg 3.63
In: 0.0000 0.0000 0.0000  4 In 3.48, 4 Hg 3.58, 4 Ba 3.63
Ba: 0.5000 0.0000 0.5000  4 Hg 3.48, 8 In 3.58-3.63
Hg: 0.0000 0.5000 0.5000  4 Ba 3.48, 8 In 3.58-3.63


The following is a DFT calculation (PBE) of crystalline BaIn2Hg at its relaxed geometry.

Values from the calculation:
The magnetic moment comes out at 0.0 μB per formula unit. Its space group is I-42d, No. 122. Its formation energy is -0.83 eV per formula unit. The calculated volume comes out at 294 Å³ per cell. As for the total energy: -2.13 eV/atom.

a = 5.2592 Å, b = 5.2592 Å, c = 11.2458 Å
α = 76.48°, β = 76.48°, γ = 90.00°
Last column: nearest neighbours and their distance in Å.
Fractional coordinates of all 8 atoms:
In: 0.9935 0.6250 0.2500  2 In 2.91, 2 Hg 3.03
In: 0.7565 0.1250 0.2500  2 In 2.91, 2 Hg 3.03
In: 0.8750 0.0065 0.7500  2 In 2.91, 2 Hg 3.03
In: 0.3750 0.2435 0.7500  2 In 2.91, 2 Hg 3.03
Ba: 0.2500 0.7500 0.5000  4 In 3.58, 4 Hg 3.72
Ba: 0.5000 0.5000 0.0000  4 In 3.58, 4 Hg 3.72
Hg: 0.7500 0.2500 0.5000  4 In 3.03
Hg: 0.0000 0.0000 0.0000  4 In 3.03


The following is a DFT calculation (PBE) of crystalline BaInHg2 at its relaxed geometry.

Values from the calculation:
The magnetic moment comes out at 0.0 μB per formula unit. Its space group is P4mm, No. 99. Its formation energy is -1.09 eV per formula unit. The calculated volume comes out at 123 Å³ per cell. As for the total energy: -1.59 eV/atom.

a = 3.9713 Å, b = 3.9734 Å, c = 7.7914 Å
α = 90.00°, β = 90.00°, γ = 90.00°
Last column: nearest neighbours and their distance in Å.
Fractional coordinates of all 4 atoms:
In: 0.0000 0.0000 0.4462  5 Hg 3.17-3.19
Ba: 0.5000 0.5000 0.7606  6 Hg 3.54-3.93, 4 In 3.73
Hg: 0.0000 0.0000 0.0366  1 In 3.19, 4 Hg 3.29, 4 Ba 3.54
Hg: 0.5000 0.5000 0.2567  4 In 3.17, 4 Hg 3.29


The following is a DFT calculation (PBE) of crystalline Ba2In15Hg2 at its relaxed geometry.

Values from the calculation:
The magnetic moment comes out at 0.0 μB per formula unit. Its space group is R-3m, No. 166. Its formation energy is -2.45 eV per formula unit. The calculated volume comes out at 558 Å³ per cell. As for the total energy: -2.53 eV/atom.

a = 8.2989 Å, b = 8.2989 Å, c = 8.2989 Å
α = 82.35°, β = 82.35°, γ = 82.35°
Last column: nearest neighbours and their distance in Å.
Fractional coordinates of all 19 atoms:
In: 0.5000 0.0000 0.0000  8 In 3.16-3.21, 2 Hg 3.33
In: 0.6434 0.6434 0.1555  8 In 3.14-3.44, 1 Hg 3.51
In: 0.3566 0.8445 0.3566  8 In 3.14-3.44, 1 Hg 3.51
In: 0.3566 0.3566 0.8445  8 In 3.14-3.44, 1 Hg 3.51
In: 0.0000 0.2949 0.7051  8 In 3.16-3.44
In: 0.8445 0.3566 0.3566  8 In 3.14-3.44, 1 Hg 3.51
In: 0.0000 0.7051 0.2949  8 In 3.16-3.44
In: 0.0000 0.0000 0.5000  8 In 3.16-3.21, 2 Hg 3.33
In: 0.0000 0.5000 0.0000  8 In 3.16-3.21, 2 Hg 3.33
In: 0.7051 0.2949 0.0000  8 In 3.16-3.44
In: 0.2949 0.7051 0.0000  8 In 3.16-3.44
In: 0.6434 0.1555 0.6434  8 In 3.14-3.44, 1 Hg 3.51
In: 0.1555 0.6434 0.6434  8 In 3.14-3.44, 1 Hg 3.51
In: 0.2949 0.0000 0.7051  8 In 3.16-3.44
In: 0.7051 0.0000 0.2949  8 In 3.16-3.44
Ba: 0.6654 0.6654 0.6654  1 Hg 3.78, 15 In 3.87-4.16
Ba: 0.3346 0.3346 0.3346  1 Hg 3.78, 15 In 3.87-4.16
Hg: 0.8994 0.8994 0.8994  1 Hg 3.25, 12 In 3.33-3.61
Hg: 0.1006 0.1006 0.1006  1 Hg 3.25, 12 In 3.33-3.61


The following is a DFT calculation (PBE) of crystalline BaIn4Hg6 at its relaxed geometry.

Values from the calculation:
The magnetic moment comes out at 0.0 μB per formula unit. Its space group is P-6, No. 174. Its formation energy is -1.74 eV per formula unit. The calculated volume comes out at 312 Å³ per cell. As for the total energy: -1.49 eV/atom. Its energy relative to the lowest polymorph listed for this composition is 0.00 kcal/mol of atoms.

a = 4.7833 Å, b = 8.6751 Å, c = 8.6728 Å
α = 119.99°, β = 90.00°, γ = 90.00°
Last column: nearest neighbours and their distance in Å.
Fractional coordinates of all 11 atoms:
In: 0.0000 0.0005 0.0007  9 Hg 3.06-3.25
In: 0.5000 0.4897 0.0831  6 Hg 2.95-3.15
In: 0.5000 0.5935 0.5097  6 Hg 2.95-3.14
In: 0.5000 0.9161 0.4061  6 Hg 2.95-3.15
Ba: 0.0000 0.3333 0.6667  9 Hg 3.72-4.00, 6 In 3.96-3.97
Hg: 0.0000 0.8412 0.5955  5 In 3.05-3.15, 2 Hg 3.21
Hg: 0.5000 0.1069 0.8176  4 In 2.95-3.25, 2 Hg 3.21
Hg: 0.0000 0.7537 0.1587  5 In 3.05-3.15, 2 Hg 3.21
Hg: 0.5000 0.1823 0.2897  4 In 2.95-3.25, 2 Hg 3.22
Hg: 0.0000 0.4053 0.2461  5 In 3.05-3.14, 2 Hg 3.22
Hg: 0.5000 0.7109 0.8926  4 In 2.95-3.25, 2 Hg 3.21


The following is a DFT calculation (PBE) of crystalline Ba2In5Hg3 at its relaxed geometry.

Values from the calculation:
The magnetic moment comes out at 0.0 μB per formula unit. Its space group is Ibam, No. 72. Its formation energy is -3.77 eV per formula unit. The calculated volume comes out at 607 Å³ per cell. As for the total energy: -2.22 eV/atom. Its energy relative to the lowest polymorph listed for this composition is 0.00 kcal/mol of atoms.

a = 7.0706 Å, b = 9.9666 Å, c = 9.9666 Å
α = 75.26°, β = 69.22°, γ = 69.22°
Last column: nearest neighbours and their distance in Å.
Fractional coordinates of all 20 atoms:
Hg: 0.3796 0.4803 0.7604  5 In 2.84-2.99
Hg: 0.1204 0.2396 0.5197  5 In 2.84-2.99
Hg: 0.8796 0.7604 0.4803  5 In 2.84-2.99
Hg: 0.2500 0.0000 0.0000  4 In 2.96
Hg: 0.7500 0.0000 0.0000  4 In 2.96
Hg: 0.6204 0.5197 0.2396  5 In 2.84-2.99
In: 0.2500 0.5000 0.5000  4 Hg 2.99
In: 0.1274 0.9994 0.7458  3 Hg 2.84-2.96, 2 In 3.00
In: 0.5096 0.7404 0.7404  2 Hg 2.98, 2 In 3.00
In: 0.3726 0.2542 0.0006  3 Hg 2.84-2.96, 2 In 3.00
In: 0.7500 0.5000 0.5000  4 Hg 2.99
In: 0.4904 0.2596 0.2596  2 Hg 2.98, 2 In 3.00
In: 0.6274 0.7458 0.9994  3 Hg 2.84-2.96, 2 In 3.00
In: 0.8726 0.0006 0.2542  3 Hg 2.84-2.96, 2 In 3.00
In: 0.0096 0.7404 0.7404  2 Hg 2.98, 2 In 3.00
In: 0.9904 0.2596 0.2596  2 Hg 2.98, 2 In 3.00
Ba: 0.8756 0.3677 0.8811  6 Hg 3.73-3.87, 10 In 3.81-4.00
Ba: 0.6244 0.1189 0.6323  6 Hg 3.73-3.87, 10 In 3.81-4.00
Ba: 0.3756 0.8811 0.3677  6 Hg 3.73-3.87, 10 In 3.81-4.00
Ba: 0.1244 0.6323 0.1189  6 Hg 3.73-3.87, 10 In 3.81-4.00


The following is a DFT calculation (PBE) of crystalline BaIn5Hg2 at its relaxed geometry.

Values from the calculation:
The magnetic moment comes out at 0.0 μB per formula unit. Its space group is Immm, No. 71. Its formation energy is -1.61 eV per formula unit. The calculated volume comes out at 236 Å³ per cell. As for the total energy: -2.23 eV/atom.

a = 4.7740 Å, b = 7.5729 Å, c = 7.5729 Å
α = 69.12°, β = 71.63°, γ = 71.63°
Last column: nearest neighbours and their distance in Å.
Fractional coordinates of all 8 atoms:
Hg: 0.2674 0.2326 0.2326  7 In 2.93-3.23
Hg: 0.7326 0.7674 0.7674  7 In 2.93-3.23
In: 0.6379 0.5458 0.1785  3 Hg 2.93-3.23, 4 In 3.16-3.27
In: 0.3621 0.4542 0.8215  3 Hg 2.93-3.23, 4 In 3.16-3.27
In: 0.6379 0.1785 0.5458  3 Hg 2.93-3.23, 4 In 3.16-3.27
In: 0.3621 0.8215 0.4542  3 Hg 2.93-3.23, 4 In 3.16-3.27
In: 0.0000 0.5000 0.5000  2 Hg 3.08, 8 In 3.27
Ba: 0.0000 0.0000 0.0000  4 Hg 3.59, 8 In 3.95


The following is a DFT calculation (PBE) of crystalline Ba2InHg6 at its relaxed geometry.

Values from the calculation:
The magnetic moment comes out at 0.0 μB per formula unit. Its space group is C2/m, No. 12. Its formation energy is -3.53 eV per formula unit. The calculated volume comes out at 271 Å³ per cell. As for the total energy: -1.32 eV/atom.

a = 6.4128 Å, b = 6.9896 Å, c = 6.9896 Å
α = 59.93°, β = 89.92°, γ = 89.92°
Last column: nearest neighbours and their distance in Å.
Fractional coordinates of all 9 atoms:
Hg: 0.3284 0.8187 0.8187  1 In 3.04, 4 Hg 3.10-3.19
Hg: 0.6711 0.1803 0.6388  1 In 3.04, 4 Hg 3.10-3.20
Hg: 0.3289 0.3612 0.8197  1 In 3.04, 4 Hg 3.10-3.20
Hg: 0.3289 0.8197 0.3612  1 In 3.04, 4 Hg 3.10-3.20
Hg: 0.6716 0.1813 0.1813  1 In 3.04, 4 Hg 3.10-3.19
Hg: 0.6711 0.6388 0.1803  1 In 3.04, 4 Hg 3.10-3.20
In: 0.0000 0.0000 0.0000  6 Hg 3.04
Ba: 0.1764 0.3337 0.3337  12 Hg 3.63-3.73
Ba: 0.8236 0.6663 0.6663  12 Hg 3.63-3.73